DFT (GGA+U) results for a relaxed structure of Sr2MnCu2O6.

Cell lengths 5.7521, 5.7521, 6.1395 Å; angles 62.07, 62.07, 60.00 degrees
Closest atoms and distances in Å follow each position.
Positions (direct):
Mn 0.0000 0.0000 0.0000  6 O 1.95
O 0.7698 0.7698 0.2442  1 Cu 1.84, 1 Mn 1.95
O 0.7839 0.2302 0.7558  1 Cu 1.84, 1 Mn 1.95
O 0.2302 0.2302 0.7558  1 Cu 1.84, 1 Mn 1.95
O 0.7698 0.2161 0.2442  1 Cu 1.84, 1 Mn 1.95
O 0.2302 0.7839 0.7558  1 Cu 1.84, 1 Mn 1.95
O 0.2161 0.7698 0.2442  1 Cu 1.84, 1 Mn 1.95
Sr 0.2162 0.2162 0.3515  3 O 2.56
Sr 0.7838 0.7838 0.6485  3 O 2.56
Cu 0.5872 0.5872 0.2384  3 O 1.84
Cu 0.4128 0.4128 0.7616  3 O 1.84

Calculated values
- electronic total energy (eV per atom) = -5.955
- spin magnetization (Bohr magnetons per cell) = 5.04
- density (Mg/m³) = 5.09
- DOS at the Fermi energy (states/eV/atom) = 0.352